Material: Tm12Co2Sn5
Method: DFT, PBE
State: optimized geometry

Values from the calculation:
Space-group type: C2/m

a = 7.4056 Å, b = 9.1461 Å, c = 9.5176 Å
α = 104.72°, β = 90.00°, γ = 113.88°
Last column: nearest neighbours and their distance in Å.
Element x y z (fractional)
1 Co 0.7026 0.0000 0.0000  6 Tm 2.51-2.74
2 Co 0.2974 0.0000 0.0000  6 Tm 2.51-2.74
3 Tm 0.8905 0.2930 0.5722  4 Sn 3.02-3.09
4 Tm 0.5026 0.0053 0.2345  2 Co 2.68
5 Tm 0.4182 0.3110 0.0804  1 Co 2.51
6 Tm 0.9972 0.9944 0.1694  2 Co 2.74
7 Tm 0.4025 0.2930 0.5722  4 Sn 3.02-3.09
8 Tm 0.5818 0.6890 0.9196  1 Co 2.51
9 Tm 0.8928 0.3110 0.0804  1 Co 2.51
10 Tm 0.5975 0.7070 0.4278  4 Sn 3.02-3.09
11 Tm 0.1095 0.7070 0.4278  4 Sn 3.02-3.09
12 Tm 0.0028 0.0056 0.8306  2 Co 2.74
13 Tm 0.1072 0.6890 0.9196  1 Co 2.51
14 Tm 0.4974 0.9947 0.7655  2 Co 2.68
15 Sn 0.2985 0.5970 0.6401  7 Tm 3.04-3.21
16 Sn 0.0000 0.0000 0.5000  6 Tm 3.02-3.13
17 Sn 0.7015 0.4030 0.3599  7 Tm 3.04-3.21
18 Sn 0.6943 0.3886 0.8387  7 Tm 3.03-3.17
19 Sn 0.3057 0.6114 0.1613  7 Tm 3.03-3.17

---

Material: TmCo6Sn6
Method: DFT, PBE
State: optimized geometry

Values from the calculation:
Space-group type: Immm

a = 5.3763 Å, b = 6.8649 Å, c = 6.8649 Å
α = 77.13°, β = 66.95°, γ = 66.95°
Last column: nearest neighbours and their distance in Å.
Element x y z (fractional)
1 Co 0.0000 0.0000 0.5000  6 Sn 2.64-2.78, 4 Co 2.68-2.69
2 Co 0.5000 0.7518 0.2482  6 Sn 2.64-2.79, 4 Co 2.68
3 Co 0.5000 0.2482 0.7518  6 Sn 2.64-2.79, 4 Co 2.68
4 Co 0.5000 0.0000 0.5000  6 Sn 2.64-2.78, 4 Co 2.68-2.69
5 Co 0.5000 0.5000 0.0000  6 Sn 2.64-2.78, 4 Co 2.68-2.69
6 Co 0.0000 0.5000 0.0000  6 Sn 2.64-2.78, 4 Co 2.68-2.69
7 Sn 0.3359 0.6641 0.6641  6 Co 2.64-2.65
8 Sn 0.3314 0.1686 0.1686  6 Co 2.64
9 Sn 0.6686 0.8314 0.8314  6 Co 2.64
10 Sn 0.0000 0.3341 0.6659  6 Co 2.78-2.79, 1 Sn 2.84, 1 Tm 2.86
11 Sn 0.6641 0.3359 0.3359  6 Co 2.64-2.65
12 Sn 0.0000 0.6659 0.3341  6 Co 2.78-2.79, 1 Sn 2.84, 1 Tm 2.86
13 Tm 0.0000 0.0000 0.0000  8 Sn 2.86-3.12

---

Material: Tm3CoSn2
Method: DFT, PBE
State: optimized geometry

Values from the calculation:
Space-group type: Pnma

a = 4.2589 Å, b = 11.3943 Å, c = 12.0556 Å
α = 90.00°, β = 90.00°, γ = 90.00°
Last column: nearest neighbours and their distance in Å.
Element x y z (fractional)
1 Tm 0.7500 0.2862 0.7582  2 Co 2.80, 1 Sn 3.11
2 Tm 0.7500 0.2138 0.2582  2 Co 2.80, 1 Sn 3.11
3 Tm 0.2500 0.7862 0.7418  2 Co 2.80, 1 Sn 3.11
4 Tm 0.2500 0.4541 0.3769  3 Co 2.96-3.19, 5 Sn 3.04-3.17
5 Tm 0.2500 0.7138 0.2418  2 Co 2.80, 1 Sn 3.11
6 Tm 0.2500 0.1310 0.5550  1 Co 2.82, 4 Sn 3.04-3.11
7 Tm 0.2500 0.3690 0.0550  1 Co 2.82, 4 Sn 3.04-3.11
8 Tm 0.7500 0.9541 0.1231  3 Co 2.96-3.19, 5 Sn 3.04-3.17
9 Tm 0.2500 0.0459 0.8769  3 Co 2.96-3.19, 5 Sn 3.04-3.17
10 Tm 0.7500 0.8690 0.4450  1 Co 2.82, 4 Sn 3.04-3.11
11 Tm 0.7500 0.5459 0.6231  3 Co 2.96-3.19, 5 Sn 3.04-3.17
12 Tm 0.7500 0.6310 0.9450  1 Co 2.82, 4 Sn 3.04-3.11
13 Sn 0.7500 0.5082 0.1886  1 Co 2.64
14 Sn 0.2500 0.6873 0.4987  2 Co 2.69
15 Sn 0.7500 0.3127 0.5013  2 Co 2.69
16 Sn 0.2500 0.8127 0.9987  2 Co 2.69
17 Sn 0.7500 0.9918 0.6886  1 Co 2.64
18 Sn 0.2500 0.4918 0.8114  1 Co 2.64
19 Sn 0.7500 0.1873 0.0013  2 Co 2.69
20 Sn 0.2500 0.0082 0.3114  1 Co 2.64
21 Co 0.7500 0.6342 0.3720  3 Sn 2.64-2.69, 3 Tm 2.80-2.82
22 Co 0.2500 0.1342 0.1280  3 Sn 2.64-2.69, 3 Tm 2.80-2.82
23 Co 0.7500 0.8658 0.8720  3 Sn 2.64-2.69, 3 Tm 2.80-2.82
24 Co 0.2500 0.3658 0.6280  3 Sn 2.64-2.69, 3 Tm 2.80-2.82

---

Material: TmCo3Sn6
Method: DFT, PBE
State: optimized geometry

Values from the calculation:
Space-group type: P1

a = 6.5470 Å, b = 6.7179 Å, c = 6.7796 Å
α = 89.01°, β = 120.53°, γ = 117.91°
Last column: nearest neighbours and their distance in Å.
Element x y z (fractional)
1 Co 0.2705 0.1615 0.4140  5 Sn 2.52-2.61, 1 Co 2.64, 1 Tm 2.71
2 Co 0.3161 0.6989 0.9672  6 Sn 2.58-2.67
3 Co 0.5392 0.3042 0.8831  5 Sn 2.47-2.56, 1 Co 2.64, 1 Tm 2.65
4 Tm 0.9395 0.7559 0.0564  2 Co 2.65-2.71
5 Sn 0.5372 0.8584 0.4227  1 Co 2.63
6 Sn 0.1048 0.8882 0.6409  3 Co 2.56-2.62
7 Sn 0.8073 0.3437 0.7041  3 Co 2.52-2.60
8 Sn 0.7849 0.1168 0.1354  3 Co 2.47-2.66
9 Sn 0.4151 0.3759 0.1554  3 Co 2.49-2.67
10 Sn 0.2853 0.4965 0.6208  3 Co 2.55-2.61

---

Material: Tm6CoSn
Method: DFT, PBE
State: optimized geometry

Values from the calculation:
Space-group type: C2/m

a = 6.1982 Å, b = 6.1982 Å, c = 6.1789 Å
α = 99.48°, β = 99.48°, γ = 101.43°
Last column: nearest neighbours and their distance in Å.
Element x y z (fractional)
1 Tm 0.7874 0.7874 0.3929  1 Co 2.51
2 Tm 0.5870 0.2082 0.2126  1 Co 2.52
3 Tm 0.2082 0.5870 0.2126  1 Co 2.52
4 Tm 0.7918 0.4130 0.7874  1 Co 2.52
5 Tm 0.4130 0.7918 0.7874  1 Co 2.52
6 Tm 0.2126 0.2126 0.6071  1 Co 2.51
7 Sn 0.0000 0.0000 0.0000  10 Tm 3.28-3.55
8 Co 0.5000 0.5000 0.5000  6 Tm 2.51-2.52

---

Material: Tm3Co2Sn3
Method: DFT, PBE
State: optimized geometry

Values from the calculation:
Space-group type: Cmcm

a = 4.4111 Å, b = 5.7487 Å, c = 14.6573 Å
α = 90.00°, β = 90.00°, γ = 112.56°
Last column: nearest neighbours and their distance in Å.
Element x y z (fractional)
1 Tm 0.6495 0.2990 0.2500  5 Sn 3.08-3.16, 4 Co 3.08
2 Tm 0.0704 0.1408 0.6112  1 Co 2.90, 4 Sn 3.11-3.17
3 Tm 0.9296 0.8592 0.3888  1 Co 2.90, 4 Sn 3.11-3.17
4 Tm 0.0704 0.1408 0.8888  1 Co 2.90, 4 Sn 3.11-3.17
5 Tm 0.9296 0.8592 0.1112  1 Co 2.90, 4 Sn 3.11-3.17
6 Tm 0.3505 0.7010 0.7500  5 Sn 3.08-3.16, 4 Co 3.08
7 Sn 0.6384 0.2767 0.4638  3 Co 2.54-2.71
8 Sn 0.3616 0.7233 0.9638  3 Co 2.54-2.71
9 Sn 0.6384 0.2767 0.0362  3 Co 2.54-2.71
10 Sn 0.3616 0.7233 0.5362  3 Co 2.54-2.71
11 Sn 0.3517 0.7035 0.2500  2 Co 2.61
12 Sn 0.6483 0.2965 0.7500  2 Co 2.61
13 Co 0.2027 0.4054 0.1085  4 Sn 2.54-2.71
14 Co 0.7973 0.5946 0.6085  4 Sn 2.54-2.71
15 Co 0.2027 0.4054 0.3915  4 Sn 2.54-2.71
16 Co 0.7973 0.5946 0.8915  4 Sn 2.54-2.71

---

Material: Tm12Co6Sn
Method: DFT, PBE
State: optimized geometry

Values from the calculation:
Space-group type: Im-3

a = 8.2377 Å, b = 8.2377 Å, c = 8.2377 Å
α = 109.47°, β = 109.47°, γ = 109.47°
Last column: nearest neighbours and their distance in Å.
Element x y z (fractional)
1 Tm 0.6978 0.5031 0.8052  3 Co 2.62-2.85
2 Tm 0.8052 0.3022 0.1074  3 Co 2.62-2.85
3 Tm 0.5031 0.8052 0.6978  3 Co 2.62-2.85
4 Tm 0.8052 0.6978 0.5031  3 Co 2.62-2.85
5 Tm 0.8926 0.1948 0.6978  3 Co 2.62-2.85
6 Tm 0.3022 0.4969 0.1948  3 Co 2.62-2.85
7 Tm 0.4969 0.1948 0.3022  3 Co 2.62-2.85
8 Tm 0.1948 0.3022 0.4969  3 Co 2.62-2.85
9 Tm 0.6978 0.8926 0.1948  3 Co 2.62-2.85
10 Tm 0.1074 0.8052 0.3022  3 Co 2.62-2.85
11 Tm 0.1948 0.6978 0.8926  3 Co 2.62-2.85
12 Tm 0.3022 0.1074 0.8052  3 Co 2.62-2.85
13 Co 0.8859 0.3859 0.5000  1 Co 2.17
14 Co 0.5000 0.8859 0.3859  1 Co 2.17
15 Co 0.6141 0.5000 0.1141  1 Co 2.17
16 Co 0.1141 0.6141 0.5000  1 Co 2.17
17 Co 0.3859 0.5000 0.8859  1 Co 2.17
18 Co 0.5000 0.1141 0.6141  1 Co 2.17
19 Sn 0.0000 0.0000 0.0000  12 Tm 3.42

---

Material: TmCoSn2
Method: DFT, PBE
State: optimized geometry

Values from the calculation:
Space-group type: R-3m

a = 4.3243 Å, b = 4.3243 Å, c = 5.8166 Å
α = 68.18°, β = 68.18°, γ = 60.00°
Last column: nearest neighbours and their distance in Å.
Element x y z (fractional)
1 Co 0.0000 0.0000 0.0000  6 Sn 2.65
2 Tm 0.5000 0.5000 0.5000  6 Sn 3.04
3 Sn 0.7231 0.7231 0.8308  3 Co 2.65
4 Sn 0.2769 0.2769 0.1692  3 Co 2.65

---

no.,magnetic moment (μB/f.u.),energy relative to the elements (meV per atom),D(E_F) (states/eV per atom)
1,0.00,-319,0.8298
2,0.00,-157,0.5807
3,0.00,-578,0.6485
4,0.00,-93,0.4883
5,0.00,-120,0.9736
6,0.00,-546,0.7831
7,0.00,-325,0.4611
8,0.00,-291,0.6792